# 1
Density functional theory data (PBE-GGA) for a geometry-optimized Ca3ZrNb2N6 structure.

a b c (Å): 5.6105 5.6105 5.8959
angles (deg): 99.10 99.10 120.04
Last column: nearest neighbours and their distance in Å.
Positions (direct):
N  0.5877  0.9277  0.7840  2 Nb 2.21, 1 Zr 2.26, 3 Ca 2.42-2.47
N  0.4123  0.0723  0.2160  2 Nb 2.21, 1 Zr 2.26, 3 Ca 2.42-2.47
N  0.2682  0.2682  0.7839  2 Nb 2.21, 1 Zr 2.26, 3 Ca 2.42-2.47
N  0.9277  0.5877  0.7840  2 Nb 2.21, 1 Zr 2.26, 3 Ca 2.42-2.47
N  0.7318  0.7318  0.2161  2 Nb 2.21, 1 Zr 2.26, 3 Ca 2.42-2.47
N  0.0723  0.4123  0.2160  2 Nb 2.21, 1 Zr 2.26, 3 Ca 2.42-2.47
Zr  0.0000  0.0000  0.0000  6 N 2.26
Nb  0.3333  0.6667  0.0000  6 N 2.21
Nb  0.6667  0.3333  0.0000  6 N 2.21
Ca  0.1667  0.8333  0.5000  6 N 2.42-2.47
Ca  0.8333  0.1667  0.5000  6 N 2.42-2.47
Ca  0.5000  0.5000  0.5000  6 N 2.42-2.47

## Properties
As for the uncorrected formation energy: -1.252 eV per atom.

---

# 2
Density functional theory data (PBE-GGA) for a geometry-optimized Be3FeCu2 structure.

a b c (Å): 2.5895 2.5895 8.5540
angles (deg): 90.00 90.00 90.00
Last column: nearest neighbours and their distance in Å.
Positions (direct):
Fe  0.5000  0.5000  0.5000  8 Be 2.31
Be  0.0000  0.0000  0.3359  4 Fe 2.31, 4 Cu 2.32
Be  0.0000  0.0000  0.0000  8 Cu 2.34, 4 Be 2.59
Be  0.0000  0.0000  0.6641  4 Fe 2.31, 4 Cu 2.32
Cu  0.5000  0.5000  0.1700  8 Be 2.32-2.34, 4 Cu 2.59
Cu  0.5000  0.5000  0.8300  8 Be 2.32-2.34, 4 Cu 2.59

## Properties
The energy relative to the elements is -113 meV/atom.

---

# 3
Density functional theory data (PBE-GGA) for a geometry-optimized Si3C structure.

a b c (Å): 2.8630 4.2941 4.2934
angles (deg): 64.64 90.00 90.00
Last column: nearest neighbours and their distance in Å.
Positions (direct):
C  0.0000  0.0000  0.0000  4 Si 2.00
Si  0.5000  0.8072  0.8072  2 C 2.00
Si  0.0000  0.5000  0.5000  2 C 2.30
Si  0.5000  0.1928  0.1928  2 C 2.00

## Properties
As for the uncorrected formation energy: 0.588 eV per atom. As for the polymorph energy (0 for the lowest one): 0.411 eV/atom.

---

# 4
Density functional theory data (PBE-GGA) for a geometry-optimized BeTl2NiSn structure.

a b c (Å): 5.8462 4.7859 5.8462
angles (deg): 90.00 90.00 90.00
Last column: nearest neighbours and their distance in Å.
Positions (direct):
Be  0.5000  0.5000  0.5000  8 Tl 3.78, 4 Ni 4.13
Tl  0.5000  0.0000  0.0000  2 Sn 2.92
Tl  0.0000  0.0000  0.5000  2 Sn 2.92
Ni  0.0000  0.5000  0.0000  2 Sn 2.39
Sn  0.0000  0.0000  0.0000  2 Ni 2.39

## Properties
The energy relative to the elements is 1061 meV/atom.

---

# 5
Density functional theory data (PBE-GGA) for a geometry-optimized LaNdY3 structure.

a b c (Å): 3.6330 10.2553 18.0671
angles (deg): 90.00 90.00 90.00
Last column: nearest neighbours and their distance in Å.
Positions (direct):
Y  0.2500  0.6260  0.9493  7 Y 3.59-3.65, 2 Nd 3.61, 3 La 3.62-3.65
Y  0.7500  0.3765  0.6496  3 Nd 3.58-3.63, 1 La 3.60, 8 Y 3.62-3.64
Y  0.7500  0.3726  0.2494  7 Y 3.59-3.64, 4 La 3.61-3.62, 1 Nd 3.65
Y  0.7500  0.3740  0.0507  7 Y 3.59-3.65, 2 Nd 3.61, 3 La 3.62-3.65
Y  0.2500  0.1274  0.7494  7 Y 3.59-3.64, 4 La 3.61-3.62, 1 Nd 3.65
Y  0.2500  0.1260  0.5507  7 Y 3.59-3.65, 2 Nd 3.61, 3 La 3.62-3.65
Y  0.2500  0.6274  0.7506  7 Y 3.59-3.64, 4 La 3.61-3.62, 1 Nd 3.65
Y  0.7500  0.8740  0.4493  7 Y 3.59-3.65, 2 Nd 3.61, 3 La 3.62-3.65
Y  0.2500  0.1235  0.1496  3 Nd 3.58-3.63, 1 La 3.60, 8 Y 3.62-3.64
Y  0.7500  0.8765  0.8504  3 Nd 3.58-3.63, 1 La 3.60, 8 Y 3.62-3.64
Y  0.2500  0.6235  0.3504  3 Nd 3.58-3.63, 1 La 3.60, 8 Y 3.62-3.64
Y  0.7500  0.8726  0.2506  7 Y 3.59-3.64, 4 La 3.61-3.62, 1 Nd 3.65
La  0.7500  0.3771  0.8487  8 Y 3.60-3.65, 2 La 3.63, 2 Nd 3.66
La  0.2500  0.6229  0.1513  8 Y 3.60-3.65, 2 La 3.63, 2 Nd 3.66
La  0.7500  0.8771  0.6513  8 Y 3.60-3.65, 2 La 3.63, 2 Nd 3.66
La  0.2500  0.1229  0.3487  8 Y 3.60-3.65, 2 La 3.63, 2 Nd 3.66
Nd  0.7500  0.3741  0.4512  6 Y 3.58-3.65, 4 Nd 3.62-3.63, 2 La 3.66
Nd  0.2500  0.1259  0.9512  6 Y 3.58-3.65, 4 Nd 3.62-3.63, 2 La 3.66
Nd  0.2500  0.6259  0.5488  6 Y 3.58-3.65, 4 Nd 3.62-3.63, 2 La 3.66
Nd  0.7500  0.8741  0.0488  6 Y 3.58-3.65, 4 Nd 3.62-3.63, 2 La 3.66

## Properties
As for the polymorph energy (0 for the lowest one): 0.000 eV/atom. The energy relative to the elements is 15 meV/atom.

---

# 6
Density functional theory data (PBE-GGA) for a geometry-optimized LaAl11Re structure.

a b c (Å): 5.3267 7.1916 6.9237
angles (deg): 81.90 67.38 68.52
Last column: nearest neighbours and their distance in Å.
Positions (direct):
La  0.0000  0.0000  0.0000  18 Al 3.28-3.60, 2 Re 3.61
Al  0.2821  0.2265  0.2193  1 Re 2.65, 7 Al 2.68-2.92
Al  0.5015  0.2265  0.7807  1 Re 2.65, 7 Al 2.68-2.92
Al  0.9799  0.3612  0.6532  8 Al 2.70-3.02, 1 Re 2.72
Al  0.0000  0.5000  0.0000  2 Re 2.66, 8 Al 2.68-2.78
Al  0.5000  0.0000  0.5000  10 Al 2.66-2.97
Al  0.6331  0.3612  0.3468  8 Al 2.70-3.02, 1 Re 2.72
Al  0.4985  0.7735  0.2193  1 Re 2.65, 7 Al 2.68-2.92
Al  0.0000  0.0000  0.5000  10 Al 2.66-2.97
Al  0.0201  0.6388  0.3468  8 Al 2.70-3.02, 1 Re 2.72
Al  0.7179  0.7735  0.7807  1 Re 2.65, 7 Al 2.68-2.92
Al  0.3669  0.6388  0.6532  8 Al 2.70-3.02, 1 Re 2.72
Re  0.5000  0.5000  0.0000  10 Al 2.65-2.72

## Properties
The energy relative to the elements is -228 meV/atom.

---

# 7
Density functional theory data (PBE-GGA) for a geometry-optimized MgTcTeI2 structure.

a b c (Å): 5.4976 5.4976 5.8082
angles (deg): 90.00 90.00 90.00
Last column: nearest neighbours and their distance in Å.
Positions (direct):
I  0.5000  0.0000  0.0000  2 Mg 2.75
I  0.0000  0.5000  0.0000  2 Mg 2.75
Tc  0.5000  0.5000  0.5000  4 Te 3.89, 8 I 4.00
Mg  0.0000  0.0000  0.0000  4 I 2.75, 2 Te 2.90
Te  0.0000  0.0000  0.5000  2 Mg 2.90

## Properties
As for the uncorrected formation energy: 0.624 eV per atom. As for the polymorph energy (0 for the lowest one): 0.303 eV/atom.

---

# 8
Density functional theory data (PBE-GGA) for a geometry-optimized Tb3Ce2ErAs6 structure.

a b c (Å): 4.1578 8.3097 9.2832
angles (deg): 102.91 102.94 90.00
Last column: nearest neighbours and their distance in Å.
Positions (direct):
As  0.0008  0.7528  0.0015  3 Tb 2.92-2.95, 2 Er 2.92, 1 Ce 2.93
As  0.6655  0.0809  0.3311  1 Er 2.92, 3 Tb 2.92-2.96, 2 Ce 2.94
As  0.3338  0.4151  0.6675  3 Tb 2.93-2.94, 3 Ce 2.96
As  0.6662  0.5849  0.3325  3 Tb 2.93-2.94, 3 Ce 2.96
As  0.3345  0.9191  0.6689  1 Er 2.92, 3 Tb 2.92-2.96, 2 Ce 2.94
As  0.9992  0.2472  0.9985  3 Tb 2.92-2.95, 2 Er 2.92, 1 Ce 2.93
Er  0.5000  0.0000  0.0000  6 As 2.92
Tb  0.8334  0.1656  0.6668  6 As 2.92-2.96
Tb  0.5000  0.5000  0.0000  6 As 2.93-2.95
Tb  0.1666  0.8344  0.3332  6 As 2.92-2.96
Ce  0.8345  0.6687  0.6691  6 As 2.93-2.96
Ce  0.1655  0.3313  0.3309  6 As 2.93-2.96

## Properties
The energy relative to the elements is -1500 meV/atom.

---

# 9
Density functional theory data (PBE-GGA) for a geometry-optimized OsRu2Br structure.

a b c (Å): 4.4486 4.4486 4.4486
angles (deg): 60.00 60.00 60.00
Last column: nearest neighbours and their distance in Å.
Positions (direct):
Br  0.0000  0.0000  0.0000  8 Ru 2.72
Ru  0.7500  0.7500  0.7500  4 Br 2.72, 4 Os 2.72
Ru  0.2500  0.2500  0.2500  4 Br 2.72, 4 Os 2.72
Os  0.5000  0.5000  0.5000  8 Ru 2.72

## Properties
As for the uncorrected formation energy: 1.199 eV per atom. As for the polymorph energy (0 for the lowest one): 0.574 eV/atom.

---

# 10
Density functional theory data (PBE-GGA) for a geometry-optimized NaSbTe2Se structure.

a b c (Å): 5.6044 5.6044 5.5045
angles (deg): 90.00 90.00 90.00
Last column: nearest neighbours and their distance in Å.
Positions (direct):
Na  0.5000  0.5000  0.5000  8 Te 3.93, 4 Sb 3.96
Te  0.0000  0.5000  0.0000  2 Se 2.80
Te  0.5000  0.0000  0.0000  2 Se 2.80
Sb  0.0000  0.0000  0.5000  2 Se 2.75
Se  0.0000  0.0000  0.0000  2 Sb 2.75, 4 Te 2.80

## Properties
As for the uncorrected formation energy: 0.157 eV per atom. As for the polymorph energy (0 for the lowest one): 0.000 eV/atom.